[1]
Here is an optimized crystal structure of SmYS2 from the Alexandria database. Energies are from PBE.

a b c (Å): 6.910 6.910 6.910
angles (deg): 33.18 33.18 33.18
Fractional coordinates of all 4 atoms:
Sm 0.000 0.000 0.000
Y 0.500 0.500 0.500
S 0.247 0.247 0.247
S 0.753 0.753 0.753

Output
The uncorrected formation energy is -2021 meV per atom. The value obtained for the offset from the most stable computed form is 0 meV per atom. The calculation puts the total energy at -6.88 eV per atom.

***

[2]
Here is an optimized crystal structure of Sm3YS4 from the Alexandria database. Energies are from PBE.

a b c (Å): 6.935 7.913 6.922
angles (deg): 90.00 109.41 90.00
Fractional coordinates of all 16 atoms:
Sm 0.000 0.124 0.250
Sm 0.000 0.374 0.750
Sm 0.000 0.626 0.250
Sm 0.000 0.876 0.750
Sm 0.500 0.124 0.750
Sm 0.500 0.876 0.250
Y 0.500 0.374 0.250
Y 0.500 0.626 0.750
S 0.253 0.128 0.003
S 0.253 0.872 0.503
S 0.256 0.378 0.500
S 0.256 0.622 0.000
S 0.744 0.378 0.000
S 0.744 0.622 0.500
S 0.747 0.128 0.497
S 0.747 0.872 0.997

Output
The uncorrected formation energy is -2020 meV per atom. The value obtained for the offset from the most stable computed form is 1 meV per atom. The calculation puts the total energy at -6.66 eV per atom.

***

[3]
Here is an optimized crystal structure of SmYS from the Alexandria database. Energies are from PBE.

a b c (Å): 3.833 3.833 6.410
angles (deg): 90.00 90.00 120.00
Fractional coordinates of all 3 atoms:
Sm 0.000 0.000 0.000
Y 0.667 0.333 0.477
S 0.333 0.667 0.730

Output
The uncorrected formation energy is -1285 meV per atom. The value obtained for the offset from the most stable computed form is 7 meV per atom. The calculation puts the total energy at -6.39 eV per atom.

***

[4]
Here is an optimized crystal structure of Sm4YS7 from the Alexandria database. Energies are from PBE.

a b c (Å): 6.848 6.848 11.788
angles (deg): 104.29 104.29 33.00
Fractional coordinates of all 12 atoms:
Sm 0.000 0.000 0.000
Sm 0.189 0.189 0.768
Sm 0.588 0.588 0.387
Sm 0.888 0.888 0.576
Y 0.776 0.776 0.155
S 0.152 0.152 0.224
S 0.228 0.228 0.526
S 0.386 0.386 0.079
S 0.548 0.548 0.628
S 0.630 0.630 0.932
S 0.847 0.847 0.792
S 0.929 0.929 0.358

Output
The uncorrected formation energy is -2070 meV per atom. The calculation puts the total energy at -6.59 eV per atom.

***

[5]
Here is an optimized crystal structure of SmY4S6 from the Alexandria database. Energies are from PBE.

a b c (Å): 6.737 6.737 19.911
angles (deg): 90.00 90.00 146.67
Fractional coordinates of all 22 atoms:
Sm 0.153 0.847 0.750
Sm 0.847 0.153 0.250
Y 0.092 0.908 0.127
Y 0.092 0.908 0.373
Y 0.361 0.639 0.040
Y 0.361 0.639 0.460
Y 0.639 0.361 0.540
Y 0.639 0.361 0.960
Y 0.908 0.092 0.627
Y 0.908 0.092 0.873
S 0.000 0.000 0.000
S 0.000 0.000 0.500
S 0.190 0.810 0.250
S 0.269 0.731 0.589
S 0.269 0.731 0.911
S 0.451 0.549 0.166
S 0.451 0.549 0.334
S 0.549 0.451 0.666
S 0.549 0.451 0.834
S 0.731 0.269 0.089
S 0.731 0.269 0.411
S 0.810 0.190 0.750

Output
The uncorrected formation energy is -2049 meV per atom. The calculation puts the total energy at -7.08 eV per atom.

***

[6]
Here is an optimized crystal structure of Sm3YS4 from the Alexandria database. Energies are from PBE.

a b c (Å): 5.641 5.641 5.641
angles (deg): 90.00 90.00 90.00
Fractional coordinates of all 8 atoms:
Sm 0.000 0.000 0.500
Sm 0.000 0.500 0.000
Sm 0.500 0.000 0.000
Y 0.500 0.500 0.500
S 0.000 0.000 0.000
S 0.000 0.500 0.500
S 0.500 0.000 0.500
S 0.500 0.500 0.000

Output
The uncorrected formation energy is -2003 meV per atom. The value obtained for the offset from the most stable computed form is 18 meV per atom. The calculation puts the total energy at -6.64 eV per atom.

***

[7]
Here is an optimized crystal structure of SmY4S5 from the Alexandria database. Energies are from PBE.

a b c (Å): 10.426 10.426 10.426
angles (deg): 158.23 149.05 38.16
Fractional coordinates of all 10 atoms:
Sm 0.000 0.000 0.000
Y 0.201 0.201 0.000
Y 0.400 0.400 0.000
Y 0.600 0.600 0.000
Y 0.799 0.799 0.000
S 0.103 0.603 0.500
S 0.301 0.801 0.500
S 0.500 0.000 0.500
S 0.699 0.199 0.500
S 0.897 0.397 0.500

Output
The uncorrected formation energy is -1997 meV per atom. The calculation puts the total energy at -7.12 eV per atom.

***

[8]
Here is an optimized crystal structure of Sm3YS from the Alexandria database. Energies are from PBE.

a b c (Å): 5.425 5.425 5.425
angles (deg): 90.00 90.00 90.00
Fractional coordinates of all 5 atoms:
Sm 0.000 0.000 0.500
Sm 0.000 0.500 0.000
Sm 0.500 0.000 0.000
Y 0.500 0.500 0.500
S 0.000 0.000 0.000

Output
The uncorrected formation energy is -676 meV per atom. The calculation puts the total energy at -5.63 eV per atom.

***

[9]
Here is an optimized crystal structure of SmY4S7 from the Alexandria database. Energies are from PBE.

a b c (Å): 6.765 6.765 11.684
angles (deg): 103.90 103.90 32.90
Fractional coordinates of all 12 atoms:
Sm 0.000 0.000 0.000
Y 0.112 0.112 0.422
Y 0.224 0.224 0.840
Y 0.412 0.412 0.607
Y 0.812 0.812 0.234
S 0.069 0.069 0.635
S 0.156 0.156 0.209
S 0.367 0.367 0.069
S 0.454 0.454 0.370
S 0.614 0.614 0.917
S 0.771 0.771 0.472
S 0.851 0.851 0.770

Output
The uncorrected formation energy is -2067 meV per atom. The calculation puts the total energy at -7.02 eV per atom.

***

[10]
Here is an optimized crystal structure of Sm3YS4 from the Alexandria database. Energies are from PBE.

a b c (Å): 6.894 6.894 6.966
angles (deg): 100.18 100.18 33.38
Fractional coordinates of all 8 atoms:
Sm 0.000 0.000 0.000
Sm 0.252 0.252 0.753
Sm 0.748 0.748 0.247
Y 0.500 0.500 0.500
S 0.122 0.122 0.380
S 0.376 0.376 0.132
S 0.624 0.624 0.868
S 0.878 0.878 0.620

Output
The uncorrected formation energy is -2021 meV per atom. The value obtained for the offset from the most stable computed form is 0 meV per atom. The calculation puts the total energy at -6.66 eV per atom.

***

[11]
Here is an optimized crystal structure of SmY6S8 from the Alexandria database. Energies are from PBE.

a b c (Å): 7.832 7.832 7.832
angles (deg): 60.00 60.00 60.00
Fractional coordinates of all 15 atoms:
Sm 0.000 0.000 0.000
Y 0.000 0.000 0.500
Y 0.000 0.500 0.000
Y 0.000 0.500 0.500
Y 0.500 0.000 0.000
Y 0.500 0.000 0.500
Y 0.500 0.500 0.000
S 0.250 0.250 0.250
S 0.255 0.255 0.745
S 0.255 0.745 0.255
S 0.255 0.745 0.745
S 0.745 0.255 0.255
S 0.745 0.255 0.745
S 0.745 0.745 0.255
S 0.750 0.750 0.750

Output
The uncorrected formation energy is -2045 meV per atom. The calculation puts the total energy at -7.15 eV per atom.

***

[12]
Here is an optimized crystal structure of Sm3YS6 from the Alexandria database. Energies are from PBE.

a b c (Å): 7.453 7.453 7.453
angles (deg): 56.48 56.48 56.48
Fractional coordinates of all 10 atoms:
Sm 0.000 0.000 0.000
Sm 0.205 0.205 0.205
Sm 0.706 0.706 0.706
Y 0.503 0.503 0.503
S 0.112 0.398 0.797
S 0.305 0.896 0.603
S 0.398 0.797 0.112
S 0.603 0.305 0.896
S 0.797 0.112 0.398
S 0.896 0.603 0.305

Output
The uncorrected formation energy is -2037 meV per atom. The value obtained for the offset from the most stable computed form is 23 meV per atom. The calculation puts the total energy at -6.58 eV per atom.

***

| no. | ρ (g cm⁻³) |
| --- | --- |
| 1 | 5.73 |
| 2 | 6.19 |
| 3 | 5.52 |
| 4 | 5.22 |
| 5 | 4.67 |
| 6 | 6.18 |
| 7 | 5.13 |
| 8 | 5.95 |
| 9 | 4.31 |
| 10 | 6.20 |
| 11 | 4.60 |
| 12 | 4.52 |